[1]
{"formula": "Na2CdGa", "functional": "PBE", "state": "optimized geometry", "cell": [[-3.241, -4.633, -1.380], [2.457, -3.081, 4.572], [-4.796, 2.581, 2.602]], "species": ["Cd", "Cd", "Na", "Na", "Na", "Na", "Ga", "Ga"], "fractional_positions": [[0.250, 0.825, 0.825], [0.750, 0.175, 0.175], [0.250, 0.352, 0.986], [0.750, 0.014, 0.648], [0.250, 0.986, 0.352], [0.750, 0.648, 0.014], [0.000, 0.500, 0.500], [0.500, 0.500, 0.500]], "ef_mev_per_atom": -47}



[2]
{"formula": "Er7Ga2Pb2", "functional": "PBE", "state": "optimized geometry", "cell": [[-6.829, 0.562, 0.105], [-0.401, -5.697, 4.385], [2.363, 3.818, 5.177]], "species": ["Er", "Er", "Er", "Er", "Er", "Er", "Er", "Pb", "Pb", "Ga", "Ga"], "fractional_positions": [[0.000, 0.730, 0.500], [0.000, 0.000, 0.000], [0.500, 0.760, 0.500], [0.000, 0.270, 0.500], [0.500, 0.270, 0.000], [0.500, 0.730, 0.000], [0.500, 0.240, 0.500], [0.814, 0.500, 0.814], [0.186, 0.500, 0.186], [0.284, 0.000, 0.716], [0.716, 0.000, 0.284]], "ef_mev_per_atom": -175}



[3]
{"formula": "Ce4Sb3O4", "functional": "PBE", "state": "optimized geometry", "cell": [[-0.071, 6.597, -0.964], [-2.860, -3.037, -5.201], [-3.371, -1.469, 5.561]], "species": ["Sb", "Sb", "Sb", "O", "O", "O", "O", "Ce", "Ce", "Ce", "Ce"], "fractional_positions": [[0.500, 0.000, 0.500], [0.500, 0.500, 0.000], [0.000, 0.500, 0.500], [0.734, 0.734, 0.734], [0.266, 0.000, 0.000], [0.000, 0.266, 0.000], [0.000, 0.000, 0.266], [0.335, 0.335, 0.335], [0.000, 0.000, 0.665], [0.665, 0.000, 0.000], [0.000, 0.665, 0.000]], "raw_formation_energy_ev_per_fu": -23.49}